1.
Er2Tl2TeO6, optimized geometry, DFT PBE; V = 18.30 A^3/atom; uncorrected energy = -6.24 eV/atom
1.0
2.9766 -5.1369 0.0000
2.9766 5.1369 0.0000
-1.9759 0.0000 6.5811
Er Tl Te O
2 2 1 6
Direct
0.1658 0.8342 0.0000 Er
0.8342 0.1658 0.0000 Er
0.3326 0.6674 0.5000 Tl
0.6674 0.3326 0.5000 Tl
0.5000 0.5000 0.0000 Te
0.1170 0.4478 0.8344 O
0.2315 0.2315 0.1658 O
0.4478 0.1170 0.8344 O
0.5522 0.8830 0.1656 O
0.7685 0.7685 0.8342 O
0.8830 0.5522 0.1656 O


2.
AlTe2Pt, optimized geometry, DFT PBE; V = 21.79 A^3/atom; uncorrected energy = -3.78 eV/atom
1.0
3.4229 0.0000 0.0000
0.0000 3.4229 0.0000
0.0000 0.0000 7.4383
Al Te Pt
1 2 1
Direct
0.0000 0.0000 0.0000 Al
0.5000 0.5000 0.2642 Te
0.5000 0.5000 0.7358 Te
0.0000 0.0000 0.5000 Pt


3.
V12Ga3Re, optimized geometry, DFT PBE; V = 13.72 A^3/atom; formation enthalpy at 0 K = -0.204 eV/atom
1.0
4.7777 0.0000 0.0000
0.0000 4.8035 0.0000
0.0000 0.0000 9.5634
V Ga Re
12 3 1
Direct
0.0000 0.0000 0.1221 V
0.0000 0.0000 0.3731 V
0.0000 0.0000 0.6269 V
0.0000 0.0000 0.8779 V
0.2520 0.5000 0.5000 V
0.2533 0.5000 0.0000 V
0.5000 0.2452 0.2481 V
0.5000 0.2452 0.7519 V
0.5000 0.7548 0.2481 V
0.5000 0.7548 0.7519 V
0.7467 0.5000 0.0000 V
0.7480 0.5000 0.5000 V
0.0000 0.5000 0.2506 Ga
0.0000 0.5000 0.7494 Ga
0.5000 0.0000 0.5000 Ga
0.5000 0.0000 0.0000 Re